Sc3CdO | the Alexandria database | PBE | optimized geometry; E = -119.07 eV for the cell shown; SG = Fd-3m (227)
1.0
0.000 5.972 5.972
5.972 0.000 5.972
5.972 5.972 0.000
Sc Cd O
12 4 4
direct
0.435 0.435 0.065
0.185 0.815 0.185
0.185 0.185 0.815
0.065 0.435 0.435
0.435 0.065 0.435
0.815 0.815 0.185
0.815 0.185 0.815
0.185 0.815 0.815
0.435 0.065 0.065
0.815 0.185 0.185
0.065 0.065 0.435
0.065 0.435 0.065
0.625 0.625 0.125
0.125 0.625 0.625
0.625 0.625 0.625
0.625 0.125 0.625
0.125 0.125 0.625
0.125 0.625 0.125
0.125 0.125 0.125
0.625 0.125 0.125